No. 1
DFT (GGA-PBE) results for crystalline Tb2TmSc at its relaxed geometry.

a = 6.055 Å, b = 3.499 Å, c = 11.354 Å
α = 90.00°, β = 100.20°, γ = 90.00°
Space group Cm (No. 8)
One atom of each set of equivalent atoms:
Tb  0.000  0.000  0.000
Tb  0.160  0.000  0.483
Tm  0.080  0.500  0.741
Sc  0.414  0.000  0.242

The calculated volume is 29.60 Å³ per atom. The value obtained for the total magnetic moment is 0.00 μB per formula unit. For the formation energy, the calculation gives 35 meV/atom.

---

No. 2
DFT (GGA-PBE) results for crystalline Ce4HoTm3Se8 at its relaxed geometry.

a = 8.1486 Å, b = 8.1486 Å, c = 20.5823 Å
α = 90.00°, β = 90.00°, γ = 120.00°
Space group R-3m (No. 166, hexagonal axes)
One atom of each set of equivalent atoms:
Ce  0.0000  0.0000  0.0000
Ce  0.0000  0.5000  0.0000
Ho  0.0000  0.0000  0.5000
Tm  0.0000  0.5000  0.5000
Se  0.0000  0.0000  0.2441
Se  0.0017  0.5009  0.7555

As for the formation energy from raw total energies: -1.77 eV per atom. The calculated volume is 24.66 Å³ per atom. The value obtained for the total magnetic moment is 4.11 μB per formula unit.

---

No. 3
DFT (GGA-PBE) results for crystalline Ac2ErHf at its relaxed geometry.

a = 3.5599 Å, b = 3.5599 Å, c = 37.7355 Å
α = 90.00°, β = 90.00°, γ = 120.00°
Space group R-3m (No. 166, hexagonal axes)
One atom of each set of equivalent atoms:
Ac  0.0000  0.0000  0.0849
Er  0.0000  0.0000  0.5000
Hf  0.0000  0.0000  0.0000

The calculated volume is 34.51 Å³ per atom. The value obtained for the total magnetic moment is 0.00 μB per formula unit. For the formation energy, the calculation gives 546 meV/atom.

---

No. 4
DFT (GGA-PBE) results for crystalline KCdIn2Ir at its relaxed geometry.

a = 5.196 Å, b = 5.196 Å, c = 5.382 Å
α = 90.00°, β = 90.00°, γ = 90.00°
Space group P4/mmm (No. 123)
One atom of each set of equivalent atoms:
K  0.000  0.000  0.000
Cd  0.500  0.500  0.000
In  0.000  0.500  0.500
Ir  0.500  0.500  0.500

The calculated volume is 29.06 Å³ per atom. The value obtained for the total magnetic moment is 0.00 μB per formula unit. For the formation energy, the calculation gives -182 meV/atom.